[1]
# BaCrRu2, single point on PBEsol structure, DFT meta-GGA SCAN
data_BaCrRu2
_chemical_formula_sum 'Ba1 Cr1 Ru2'
_space_group_name_H-M_alt 'P 1 m 1'
_space_group_IT_number 6
_cell_length_a 2.968
_cell_length_b 4.188
_cell_length_c 6.549
_cell_angle_alpha 90.00
_cell_angle_beta 98.13
_cell_angle_gamma 90.00
loop_
_space_group_symop_operation_xyz
'x,y,z'
'x,-y,z'
loop_
_atom_site_label
_atom_site_type_symbol
_atom_site_fract_x
_atom_site_fract_y
_atom_site_fract_z
Ba1 Ba 0.000 0.000 0.000
Cr1 Cr 0.806 0.500 0.380
Ru1 Ru 0.358 0.000 0.492
Ru2 Ru 0.406 0.500 0.681
# * V: 20.143 Å³ per atom

[2]
# Ba2CrRu, single point on PBEsol structure, DFT meta-GGA SCAN
data_Ba2CrRu
_chemical_formula_sum 'Ba8 Cr4 Ru4'
_space_group_name_H-M_alt 'F -4 3 m'
_space_group_IT_number 216
_space_group_name_Hall 'F -4 2 3'
_cell_length_a 7.415
_cell_length_b 7.415
_cell_length_c 7.415
_cell_angle_alpha 90.00
_cell_angle_beta 90.00
_cell_angle_gamma 90.00
loop_
_atom_site_label
_atom_site_type_symbol
_atom_site_fract_x
_atom_site_fract_y
_atom_site_fract_z
Ba1 Ba 0.000 0.000 0.000
Ba2 Ba 0.250 0.250 0.250
Cr1 Cr 0.250 0.250 0.750
Ru1 Ru 0.000 0.000 0.500
# * V: 25.478 Å³ per atom

[3]
# BaCrRu2, single point on PBEsol structure, DFT meta-GGA SCAN
data_BaCrRu2
_chemical_formula_sum 'Ba2 Cr2 Ru4'
_space_group_name_H-M_alt 'I m m 2'
_space_group_IT_number 44
_cell_length_a 2.973
_cell_length_b 5.126
_cell_length_c 9.996
_cell_angle_alpha 90.00
_cell_angle_beta 90.00
_cell_angle_gamma 90.00
loop_
_space_group_symop_operation_xyz
'x,y,z'
'-x,-y,z'
'-x,y,z'
'x,-y,z'
'x+1/2,y+1/2,z+1/2'
'-x+1/2,-y+1/2,z+1/2'
'-x+1/2,y+1/2,z+1/2'
'x+1/2,-y+1/2,z+1/2'
loop_
_atom_site_label
_atom_site_type_symbol
_atom_site_fract_x
_atom_site_fract_y
_atom_site_fract_z
Ba1 Ba 0.000 0.000 0.000
Cr1 Cr 0.000 0.500 0.792
Ru1 Ru 0.000 0.000 0.512
Ru2 Ru 0.000 0.500 0.218
# * V: 19.044 Å³ per atom

no.,polymorph energy (0 for the lowest one) (eV per formula unit),size of the total moment (Bohr magnetons per cell)
1,0.00,2.62
2,0.00,15.41
3,0.92,4.49